First-principles (PBE) data for an optimized crystal structure of HoScZn, as listed in OQMD.

```
HoScZn
1.0
0.000 3.383 3.383
3.383 0.000 3.383
3.383 3.383 0.000
Ho Sc Zn
1 1 1
direct
0.000 0.000 0.000 Ho
0.250 0.250 0.250 Sc
0.750 0.750 0.750 Zn
```

Results
**Uncorrected energy**: -10.3 eV/cell
**Formation energy from the elements**: 0.62 eV per atom

First-principles (PBE) data for an optimized crystal structure of HoScZn, as listed in OQMD.

```
HoScZn
1.0
4.756 0.011 0.368
2.132 -2.538 3.430
2.488 -3.911 -1.124
Ho Sc Zn
1 1 1
direct
0.250 0.250 0.250 Ho
0.750 0.750 0.750 Sc
0.000 0.000 0.000 Zn
```

Results
**Uncorrected energy**: -12.1 eV/cell
**Formation energy from the elements**: 0.03 eV per atom

First-principles (PBE) data for an optimized crystal structure of HoZrSc, as listed in OQMD.

```
HoZrSc
1.0
0.000 3.542 3.542
3.542 0.000 3.542
3.542 3.542 0.000
Sc Zr Ho
1 1 1
direct
0.000 0.000 0.000 Sc
0.750 0.750 0.750 Zr
0.250 0.250 0.250 Ho
```

Results
**Uncorrected energy**: -16.9 eV/cell
**Formation energy from the elements**: 0.87 eV per atom